Entry from the Alexandria database: Nd2Se3 after structural relaxation (GGA-PBE).

Lattice parameters (Å, degrees): 4.189 11.210 11.542 90.00 90.00 90.00
Element x y z (fractional)
Nd (0.750, 0.497, 0.693)
Nd (0.750, 0.813, 0.511)
Nd (0.750, 0.687, 0.011)
Nd (0.750, 0.003, 0.193)
Nd (0.250, 0.503, 0.307)
Nd (0.250, 0.997, 0.807)
Nd (0.250, 0.313, 0.989)
Nd (0.250, 0.187, 0.489)
Se (0.750, 0.056, 0.621)
Se (0.750, 0.444, 0.121)
Se (0.250, 0.875, 0.045)
Se (0.750, 0.801, 0.771)
Se (0.250, 0.625, 0.545)
Se (0.750, 0.375, 0.455)
Se (0.250, 0.944, 0.379)
Se (0.250, 0.556, 0.879)
Se (0.750, 0.125, 0.955)
Se (0.250, 0.301, 0.729)
Se (0.250, 0.199, 0.229)
Se (0.750, 0.699, 0.271)

Properties
* E_form (uncorrected): -9.51 eV per formula unit
* Fermi-level density of states: 0.001 states/eV/atom

Entry from the Alexandria database: KGePPb2 after structural relaxation (GGA-PBE).

Lattice parameters (Å, degrees): 5.514 5.966 5.514 90.00 90.00 90.00
Last column: magnetic moment on the atom in μB.
Element x y z (fractional)
P (0.000, 0.000, 0.000)  0.07
Pb (0.000, 0.000, 0.500)  -0.01
Pb (0.500, 0.000, 0.000)  -0.02
Ge (0.500, 0.500, 0.500)  0.39
K (0.000, 0.500, 0.000)  0.01

Properties
* formation energy from the elements: 0.481 eV/atom
* Fermi-level density of states: 0.878 states/eV/atom

Entry from the Alexandria database: TaZn2Re after structural relaxation (GGA-PBE).

Lattice parameters (Å, degrees): 3.312 3.312 5.809 90.00 90.00 90.00
Element x y z (fractional)
Zn (0.500, 0.500, 0.234)
Zn (0.000, 0.000, 0.023)
Re (0.000, 0.000, 0.518)
Ta (0.500, 0.500, 0.725)

Properties
* formation energy from the elements: 0.068 eV/atom
* Fermi-level density of states: 0.570 states/eV/atom
* energy relative to the lowest polymorph listed for this composition: 38 meV per atom

Entry from the Alexandria database: BeZn2Re after structural relaxation (GGA-PBE).

Lattice parameters (Å, degrees): 8.552 8.552 8.552 18.29 18.29 18.29
Element x y z (fractional)
Re (0.750, 0.750, 0.750)
Be (0.250, 0.250, 0.250)
Zn (0.506, 0.506, 0.506)
Zn (0.994, 0.994, 0.994)

Properties
* formation energy from the elements: 0.282 eV/atom
* Fermi-level density of states: 0.604 states/eV/atom

Entry from the Alexandria database: Li5DySe4 after structural relaxation (GGA-PBE).

Lattice parameters (Å, degrees): 4.090 7.477 8.206 117.10 104.43 90.00
Element x y z (fractional)
Se (0.000, 0.735, 0.000)
Se (0.710, 0.210, 0.421)
Se (0.290, 0.790, 0.579)
Se (0.000, 0.265, 0.000)
Li (0.179, 0.387, 0.358)
Li (0.821, 0.613, 0.642)
Li (0.179, 0.970, 0.358)
Li (0.500, 0.500, 0.000)
Li (0.821, 0.030, 0.642)
Dy (0.500, 0.000, 0.000)

Properties
* E_form (uncorrected): -14.01 eV per formula unit
* Fermi-level density of states: 0.000 states/eV/atom

Entry from the Alexandria database: TmTi2Nb after structural relaxation (GGA-PBE).

Lattice parameters (Å, degrees): 3.457 3.457 6.840 90.00 90.00 90.00
Element x y z (fractional)
Tm (0.500, 0.500, 0.500)
Ti (0.000, 0.000, 0.801)
Ti (0.000, 0.000, 0.199)
Nb (0.500, 0.500, 0.000)

Properties
* formation energy from the elements: 0.074 eV/atom
* Fermi-level density of states: 1.622 states/eV/atom
* energy relative to the lowest polymorph listed for this composition: 0 meV per atom

Entry from the Alexandria database: YIn2Co after structural relaxation (GGA-PBE).

Lattice parameters (Å, degrees): 5.197 5.197 5.197 127.90 127.90 76.79
Last column: magnetic moment on the atom in μB.
Element x y z (fractional)
Y (0.500, 0.500, 0.000)  -0.10
Co (0.750, 0.250, 0.500)  1.26
In (0.000, 0.000, 0.000)  0.00
In (0.250, 0.750, 0.500)  0.00

Properties
* formation energy from the elements: -0.023 eV/atom
* Fermi-level density of states: 0.790 states/eV/atom

Entry from the Alexandria database: Cs2KNpS4 after structural relaxation (GGA-PBE).

Lattice parameters (Å, degrees): 4.229 8.340 7.802 72.02 90.00 90.00
Last column: magnetic moment on the atom in μB.
Element x y z (fractional)
S (0.000, 0.682, 0.705)  -0.12
S (0.000, 0.318, 0.295)  -0.12
S (0.500, 0.681, 0.310)  -0.10
S (0.500, 0.319, 0.690)  -0.10
Np (0.000, 0.500, 0.500)  2.66
Cs (0.500, 0.000, 0.500)  -0.01
Cs (0.000, 0.000, 0.000)  0.00
K (0.500, 0.500, 0.000)  0.00

Properties
* E_form (uncorrected): -9.75 eV per formula unit
* Fermi-level density of states: 0.489 states/eV/atom